No. 1
# BeCuTc2Cl (PBE-GGA, optimized geometry)
# Crystal system: tetragonal
# M_tot in μB per formula unit: 0.00
# Raw formation energy in eV per atom: 1.203
data_BeCuTc2Cl
_symmetry_space_group_name_H-M 'P 4/m m m'
_symmetry_Int_Tables_number 123
_symmetry_space_group_name_Hall '-P 4 2'
_cell_length_a 4.4035
_cell_length_b 4.4035
_cell_length_c 3.7412
_cell_angle_alpha 90.00
_cell_angle_beta 90.00
_cell_angle_gamma 90.00
loop_
_atom_site_label
_atom_site_type_symbol
_atom_site_fract_x
_atom_site_fract_y
_atom_site_fract_z
Be1 Be 0.0000 0.0000 0.0000
Cu1 Cu 0.5000 0.5000 0.0000
Tc1 Tc 0.0000 0.5000 0.5000
Cl1 Cl 0.0000 0.0000 0.5000

***

No. 2
# Ba4AsSBr2 (PBE-GGA, optimized geometry)
# Crystal system: monoclinic
# M_tot in μB per formula unit: 0.00
# Raw formation energy in eV per atom: -1.742
data_Ba4AsSBr2
_symmetry_space_group_name_H-M 'P 1 2/m 1'
_symmetry_Int_Tables_number 10
_cell_length_a 8.0952
_cell_length_b 4.7008
_cell_length_c 8.2962
_cell_angle_alpha 90.00
_cell_angle_beta 109.14
_cell_angle_gamma 90.00
loop_
_symmetry_equiv_pos_as_xyz
'x,y,z'
'-x,-y,-z'
'-x,y,-z'
'x,-y,z'
loop_
_atom_site_label
_atom_site_type_symbol
_atom_site_fract_x
_atom_site_fract_y
_atom_site_fract_z
Ba1 Ba 0.2390 0.0000 0.2188
Ba2 Ba 0.2583 0.5000 0.7779
As1 As 0.5000 0.0000 0.0000
S1 S 0.0000 0.5000 0.0000
Br1 Br 0.0000 0.0000 0.5000
Br2 Br 0.5000 0.5000 0.5000

***

No. 3
# NaCdHg2Br6 (PBE-GGA, optimized geometry)
# Crystal system: trigonal
# M_tot in μB per formula unit: 0.00
# Raw formation energy in eV per atom: -0.686
data_NaCdHg2Br6
_symmetry_space_group_name_H-M 'R 3'
_symmetry_Int_Tables_number 146
_symmetry_space_group_name_Hall 'R 3'
_cell_length_a 7.3173
_cell_length_b 7.3173
_cell_length_c 20.5453
_cell_angle_alpha 90.00
_cell_angle_beta 90.00
_cell_angle_gamma 120.00
loop_
_atom_site_label
_atom_site_type_symbol
_atom_site_fract_x
_atom_site_fract_y
_atom_site_fract_z
Na1 Na 0.0000 0.0000 0.0000
Cd1 Cd 0.0000 0.0000 0.5110
Hg1 Hg 0.0000 0.0000 0.1936
Hg2 Hg 0.0000 0.0000 0.7042
Br1 Br 0.0072 0.6449 0.7718
Br2 Br 0.0377 0.3515 0.2643

***

No. 4
# SrMnV2 (PBE-GGA, optimized geometry)
# Crystal system: tetragonal
# E_form in meV/atom: 1056
# M_tot in μB per formula unit: 2.68
# Energy above the lowest structure with this stoichiometry in meV/atom: 140
data_SrMnV2
_symmetry_space_group_name_H-M 'I 41/a m d'
_symmetry_Int_Tables_number 141
_cell_length_a 5.0789
_cell_length_b 5.0789
_cell_length_c 16.1027
_cell_angle_alpha 90.00
_cell_angle_beta 90.00
_cell_angle_gamma 90.00
loop_
_symmetry_equiv_pos_as_xyz
'x,y,z'
'-x,-y,-z'
'-y+1/4,x+3/4,z+1/4'
'y+1/4,-x+3/4,-z+1/4'
'-x+1/2,-y,z+1/2'
'x+1/2,y,-z+1/2'
'y+1/4,-x+1/4,z+3/4'
'-y+1/4,x+1/4,-z+3/4'
'x,-y,-z'
'-x,y,z'
'-y+1/4,-x+1/4,-z+3/4'
'y+1/4,x+1/4,z+3/4'
'-x+1/2,y,-z+1/2'
'x+1/2,-y,z+1/2'
'y+1/4,x+3/4,-z+1/4'
'-y+1/4,-x+3/4,z+1/4'
'x+1/2,y+1/2,z+1/2'
'-x+1/2,-y+1/2,-z+1/2'
'-y+3/4,x+1/4,z+3/4'
'y+3/4,-x+1/4,-z+3/4'
'-x,-y+1/2,z'
'x,y+1/2,-z'
'y+3/4,-x+3/4,z+1/4'
'-y+3/4,x+3/4,-z+1/4'
'x+1/2,-y+1/2,-z+1/2'
'-x+1/2,y+1/2,z+1/2'
'-y+3/4,-x+3/4,-z+1/4'
'y+3/4,x+3/4,z+1/4'
'-x,y+1/2,-z'
'x,-y+1/2,z'
'y+3/4,x+1/4,-z+3/4'
'-y+3/4,-x+1/4,z+3/4'
loop_
_atom_site_label
_atom_site_type_symbol
_atom_site_fract_x
_atom_site_fract_y
_atom_site_fract_z
Sr1 Sr 0.0000 0.2500 0.3750
Mn1 Mn 0.0000 0.2500 0.8750
V1 V 0.0000 0.0000 0.0000

***

No. 5
# LaFe2Hg (PBE-GGA, optimized geometry)
# Crystal system: monoclinic
# E_form in meV/atom: 534
# M_tot in μB per formula unit: 4.21
data_LaFe2Hg
_symmetry_space_group_name_H-M 'C 1 2/m 1'
_symmetry_Int_Tables_number 12
_cell_length_a 6.1722
_cell_length_b 8.9024
_cell_length_c 3.1923
_cell_angle_alpha 90.00
_cell_angle_beta 116.01
_cell_angle_gamma 90.00
loop_
_symmetry_equiv_pos_as_xyz
'x,y,z'
'-x,-y,-z'
'-x,y,-z'
'x,-y,z'
'x+1/2,y+1/2,z'
'-x+1/2,-y+1/2,-z'
'-x+1/2,y+1/2,-z'
'x+1/2,-y+1/2,z'
loop_
_atom_site_label
_atom_site_type_symbol
_atom_site_fract_x
_atom_site_fract_y
_atom_site_fract_z
La1 La 0.0000 0.0000 0.0000
Fe1 Fe 0.2500 0.2500 0.5000
Hg1 Hg 0.0000 0.5000 0.0000

***

No. 6
# NaY2Ni (PBE-GGA, optimized geometry)
# Crystal system: tetragonal
# E_form in meV/atom: 231
# M_tot in μB per formula unit: 0.00
# Energy above the lowest structure with this stoichiometry in meV/atom: 330
data_NaY2Ni
_symmetry_space_group_name_H-M 'I -4 2 d'
_symmetry_Int_Tables_number 122
_symmetry_space_group_name_Hall 'I -4 2bw'
_cell_length_a 8.1133
_cell_length_b 8.1133
_cell_length_c 6.7538
_cell_angle_alpha 90.00
_cell_angle_beta 90.00
_cell_angle_gamma 90.00
loop_
_atom_site_label
_atom_site_type_symbol
_atom_site_fract_x
_atom_site_fract_y
_atom_site_fract_z
Na1 Na 0.0000 0.0000 0.0000
Y1 Y 0.1770 0.7500 0.6250
Ni1 Ni 0.0000 0.0000 0.5000

***

No. 7
# YHfScSn2 (PBE-GGA, optimized geometry)
# Crystal system: tetragonal
# E_form in meV/atom: 502
# M_tot in μB per formula unit: 0.62
data_YHfScSn2
_symmetry_space_group_name_H-M 'P 4/m m m'
_symmetry_Int_Tables_number 123
_symmetry_space_group_name_Hall '-P 4 2'
_cell_length_a 5.4706
_cell_length_b 5.4706
_cell_length_c 5.3325
_cell_angle_alpha 90.00
_cell_angle_beta 90.00
_cell_angle_gamma 90.00
loop_
_atom_site_label
_atom_site_type_symbol
_atom_site_fract_x
_atom_site_fract_y
_atom_site_fract_z
Y1 Y 0.0000 0.0000 0.0000
Hf1 Hf 0.0000 0.0000 0.5000
Sc1 Sc 0.5000 0.5000 0.0000
Sn1 Sn 0.0000 0.5000 0.5000

***

No. 8
# K2GeTe2 (PBE-GGA, optimized geometry)
# Crystal system: tetragonal
# M_tot in μB per formula unit: 0.00
# Energy above the lowest structure with this stoichiometry in meV/atom: 238
# Raw formation energy in eV per atom: -0.433
data_K2GeTe2
_symmetry_space_group_name_H-M 'P 4/m b m'
_symmetry_Int_Tables_number 127
_symmetry_space_group_name_Hall '-P 4 2ab'
_cell_length_a 8.2997
_cell_length_b 8.2997
_cell_length_c 5.1413
_cell_angle_alpha 90.00
_cell_angle_beta 90.00
_cell_angle_gamma 90.00
loop_
_atom_site_label
_atom_site_type_symbol
_atom_site_fract_x
_atom_site_fract_y
_atom_site_fract_z
K1 K 0.1409 0.3591 0.0000
Ge1 Ge 0.0000 0.0000 0.5000
Te1 Te 0.1738 0.6738 0.5000

***

no.,total DFT energy (no corrections) (eV per atom)
1,-4.878
2,-4.219
3,-1.974
4,-6.216
5,-5.004
6,-4.776
7,-5.649
8,-3.052